(1)
NaMg2Pt2 | PBE-GGA | relaxed

Computed properties:
- formation enthalpy at 0 K (eV/atom) = -0.4826
- Fermi-level density of states (states/eV/cell) = 3.09
- E above lowest polymorph (meV/atom) = 163
- crystal system = tetragonal

a = 4.313 Å, b = 4.313 Å, c = 11.294 Å
α = 90.00°, β = 90.00°, γ = 90.00°
Space group I4/mmm (No. 139)
Symmetry-distinct sites (fractional):
Na: 0.000 0.000 0.000 [2 per cell]
Mg: 0.000 0.500 0.250 [4 per cell]
Pt: 0.000 0.000 0.385 [4 per cell]

***

(2)
NaMgPt | PBE-GGA | relaxed

Computed properties:
- formation enthalpy at 0 K (eV/atom) = -0.3703
- Fermi-level density of states (states/eV/cell) = 1.96
- E above lowest polymorph (meV/atom) = 87
- crystal system = orthorhombic

a = 3.038 Å, b = 3.832 Å, c = 10.535 Å
α = 90.00°, β = 90.00°, γ = 90.00°
Space group Imm2 (No. 44)
Symmetry-distinct sites (fractional):
Na: 0.000 0.000 0.000 [2 per cell]
Mg: 0.000 0.000 0.717 [2 per cell]
Pt: 0.000 0.000 0.312 [2 per cell]